# 1
A relaxed LaPa2ZnN4 crystal. Source: the Alexandria database, functional GGA-PBE.

a = 3.6134 Å, b = 6.1637 Å, c = 11.5275 Å
α = 90.00°, β = 90.00°, γ = 107.05°
Closest atoms and distances in Å follow each position.
Positions (direct):
1 La 0.0920 0.1840 0.7500  2 N 2.65
2 La 0.9080 0.8160 0.2500  2 N 2.65
3 Pa 0.3722 0.7445 0.5512  6 N 2.23-2.49
4 Pa 0.6278 0.2555 0.0512  6 N 2.23-2.49
5 Pa 0.6278 0.2555 0.4488  6 N 2.23-2.49
6 Pa 0.3722 0.7445 0.9488  6 N 2.23-2.49
7 Zn 0.8292 0.6584 0.7500  4 N 1.97-2.15
8 Zn 0.1708 0.3416 0.2500  4 N 1.97-2.15
9 N 0.2624 0.5248 0.1066  1 Zn 1.97
10 N 0.7376 0.4752 0.6066  1 Zn 1.97
11 N 0.7376 0.4752 0.8934  1 Zn 1.97
12 N 0.2624 0.5248 0.3934  1 Zn 1.97
13 N 0.0000 0.0000 0.5000  4 Pa 2.42
14 N 0.0000 0.0000 0.0000  4 Pa 2.42
15 N 0.4275 0.8550 0.7500  2 Zn 2.15, 2 Pa 2.38
16 N 0.5725 0.1450 0.2500  2 Zn 2.15, 2 Pa 2.38

Values from the calculation:
E_form (uncorrected) ... -9.36 eV per formula unit
E ... -135.713 eV per cell



# 2
A relaxed TmUNiIr crystal. Source: the Alexandria database, functional GGA-PBE.

a = 4.7770 Å, b = 4.7770 Å, c = 4.7770 Å
α = 60.00°, β = 60.00°, γ = 60.00°
Closest atoms and distances in Å follow each position.
Positions (direct):
1 Ni 0.0000 0.0000 0.0000  4 U 2.93, 4 Tm 2.93
2 Tm 0.2500 0.2500 0.2500  4 Ni 2.93, 4 Ir 2.93
3 Ir 0.5000 0.5000 0.5000  4 Tm 2.93, 4 U 2.93
4 U 0.7500 0.7500 0.7500  4 Ir 2.93, 4 Ni 2.93

Values from the calculation:
E ... -31.948 eV per cell
Energy relative to the elements ... -0.39 eV per atom



# 3
A relaxed AlCuCl2 crystal. Source: the Alexandria database, functional GGA-PBE.

a = 7.7266 Å, b = 7.7266 Å, c = 7.7266 Å
α = 26.64°, β = 26.64°, γ = 26.64°
Closest atoms and distances in Å follow each position.
Positions (direct):
1 Al 0.7500 0.7500 0.7500  6 Cl 3.06
2 Cu 0.2500 0.2500 0.2500  6 Cl 2.52
3 Cl 0.9816 0.9816 0.9816  3 Cu 2.52
4 Cl 0.5184 0.5184 0.5184  3 Cu 2.52

Values from the calculation:
E above lowest polymorph ... 411 meV per atom
E_form (uncorrected) ... -0.94 eV per formula unit
E ... -12.473 eV per cell



# 4
A relaxed PmSm4Y2 crystal. Source: the Alexandria database, functional GGA-PBE.

a = 6.2666 Å, b = 6.6163 Å, c = 11.7465 Å
α = 90.00°, β = 106.00°, γ = 90.00°
Closest atoms and distances in Å follow each position.
Positions (direct):
1 Pm 0.1636 0.7500 0.1604  6 Sm 3.40-3.50, 2 Y 3.48-3.78
2 Pm 0.8364 0.2500 0.8396  6 Sm 3.40-3.50, 2 Y 3.48-3.78
3 Sm 0.6522 0.5028 0.2866  5 Sm 3.27-3.53, 1 Pm 3.43, 2 Y 3.57-3.63
4 Sm 0.0245 0.7500 0.8573  2 Sm 3.41, 3 Pm 3.42-3.50, 3 Y 3.43-3.57
5 Sm 0.9755 0.2500 0.1427  2 Sm 3.41, 3 Pm 3.42-3.50, 3 Y 3.43-3.57
6 Sm 0.6522 0.9972 0.2866  5 Sm 3.27-3.53, 1 Pm 3.43, 2 Y 3.57-3.63
7 Sm 0.8566 0.2500 0.5536  1 Pm 3.40, 4 Y 3.41-3.46, 4 Sm 3.47-3.53
8 Sm 0.3478 0.0028 0.7134  5 Sm 3.27-3.53, 1 Pm 3.43, 2 Y 3.57-3.63
9 Sm 0.3478 0.4972 0.7134  5 Sm 3.27-3.53, 1 Pm 3.43, 2 Y 3.57-3.63
10 Sm 0.1434 0.7500 0.4464  1 Pm 3.40, 4 Y 3.41-3.46, 4 Sm 3.47-3.53
11 Y 0.6071 0.7500 0.9976  6 Sm 3.45-3.71, 2 Pm 3.48-3.78, 2 Y 3.58
12 Y 0.3929 0.2500 0.0024  6 Sm 3.45-3.71, 2 Pm 3.48-3.78, 2 Y 3.58
13 Y 0.2953 0.2500 0.4310  9 Sm 3.41-3.63
14 Y 0.7047 0.7500 0.5690  9 Sm 3.41-3.63

Values from the calculation:
E above lowest polymorph ... 35 meV per atom
E ... -71.439 eV per cell
Energy relative to the elements ... 0.12 eV per atom